Below is a geometry-optimized TaMnSb2O8 structure, with properties calculated at the PBE+U level.

Structure (CIF):
```
data_TaMnSb2O8
_chemical_formula_sum 'Ta2 Mn2 Sb4 O16'
_symmetry_space_group_name_H-M 'C m m m'
_symmetry_Int_Tables_number 65
_symmetry_space_group_name_Hall '-C 2 2'
_cell_length_a 6.7673
_cell_length_b 6.8808
_cell_length_c 6.4922
_cell_angle_alpha 90.00
_cell_angle_beta 90.00
_cell_angle_gamma 90.00
loop_
_atom_site_label
_atom_site_type_symbol
_atom_site_fract_x
_atom_site_fract_y
_atom_site_fract_z
Ta1 Ta 0.0000 0.0000 0.0000
Mn1 Mn 0.0000 0.0000 0.5000
Sb1 Sb 0.0000 0.5000 0.2533
O1 O 0.0000 0.3021 0.0000
O2 O 0.0000 0.3131 0.5000
O3 O 0.1965 0.0000 0.2275
```

Properties
The calculation puts the uncorrected energy at -7.438 eV per atom. The calculation puts the magnetization at 5.0 μB per formula unit. The density of states at the Fermi level is 0.090 states/eV per atom.